PBE CrP3Os, optimized geometry; energy of formation from the pure elements = 1.1057 eV/atom; energy relative to the lowest polymorph listed for this composition = 0.0000 eV per atom
1.0
4.339 0.000 0.000
0.000 4.339 0.000
0.000 0.000 4.339
Cr P Os
1 3 1
direct
0.000 0.000 0.000 Cr
0.000 0.000 0.500 P
0.000 0.500 0.000 P
0.500 0.000 0.000 P
0.500 0.500 0.500 Os